This record from the Alexandria database describes Rb2YSbOs after structural relaxation. The functional is GGA-PBEsol.

For the density of states at the Fermi level, the calculation gives 8.40 states/eV per cell. The value obtained for the total DFT energy (no corrections) is -16.633 eV per cell. The value obtained for the size of the total moment is 3.4 Bohr magnetons per cell.

abc: 7.1446 7.1446 5.5725
angles: 90.00 90.00 90.00
Closest atoms and distances in Å follow each position.
Space group P4/mmm (No. 123)
Symmetry-distinct sites (fractional):
Rb 0.0000 0.5000 0.0000  2 Y 3.57
Y 0.0000 0.0000 0.0000  2 Sb 2.79
Sb 0.0000 0.0000 0.5000  2 Y 2.79
Os 0.5000 0.5000 0.5000  8 Rb 4.53, 4 Sb 5.05